[1]
DFT (GGA-PBE) results for a relaxed structure of HoLuScIr.

Results
space group	F-43m, No. 216
DOS at the Fermi energy	3.76	states/eV/f.u.
formation enthalpy at 0 K	-0.32	eV/atom

abc: 4.9806 4.9806 4.9806
angles: 60.00 60.00 60.00
Site moments in Bohr magnetons follow the coordinates.
Fractional positions:
Ir1 0.5000 0.5000 0.5000  0.02
Sc1 0.0000 0.0000 0.0000  -0.20
Lu1 0.7500 0.7500 0.7500  -0.07
Ho1 0.2500 0.2500 0.2500  -0.07



[2]
DFT (GGA-PBE) results for a relaxed structure of HoLuSnIr.

Results
space group	F-43m, No. 216
DOS at the Fermi energy	3.08	states/eV/f.u.
formation enthalpy at 0 K	-0.63	eV/atom

abc: 5.0230 5.0230 5.0230
angles: 60.00 60.00 60.00
Fractional positions:
Sn1 0.2500 0.2500 0.2500
Ir1 0.7500 0.7500 0.7500
Ho1 0.0000 0.0000 0.0000
Lu1 0.5000 0.5000 0.5000



[3]
DFT (GGA-PBE) results for a relaxed structure of Ho6Mg2Ir.

Results
space group	C2/m, No. 12
DOS at the Fermi energy	7.49	states/eV/f.u.
formation enthalpy at 0 K	-0.01	eV/atom

abc: 5.4998 8.4044 7.6024
angles: 123.56 111.22 90.00
Fractional positions:
Ir1 0.0000 0.0000 0.0000
Ho1 0.5000 0.1778 0.0000
Ho2 0.5000 0.8222 0.0000
Ho3 0.1545 0.8926 0.3092
Mg1 0.6352 0.6361 0.2722
Mg2 0.3648 0.3639 0.7278
Ho4 0.8455 0.1074 0.6908
Ho5 0.8455 0.5834 0.6908
Ho6 0.1545 0.4166 0.3092



[4]
DFT (GGA-PBE) results for a relaxed structure of HoMgIr.

Results
space group	F-43m, No. 216
DOS at the Fermi energy	0.91	states/eV/f.u.
formation enthalpy at 0 K	-0.54	eV/atom

abc: 4.6135 4.6135 4.6135
angles: 60.00 60.00 60.00
Fractional positions:
Ho1 0.0000 0.0000 0.0000
Ir1 0.2500 0.2500 0.2500
Mg1 0.5000 0.5000 0.5000



[5]
DFT (GGA-PBE) results for a relaxed structure of Ho8Mg2Ir.

Results
space group	C2/m, No. 12
DOS at the Fermi energy	10.12	states/eV/f.u.
formation enthalpy at 0 K	-0.16	eV/atom

abc: 5.4028 7.0062 9.1523
angles: 110.32 107.17 90.00
Fractional positions:
Ho1 0.3533 0.0664 0.7067
Ho2 0.4011 0.5894 0.8022
Ho3 0.0153 0.7809 0.0305
Ho4 0.8053 0.7360 0.6107
Ho5 0.6467 0.9336 0.2933
Ho6 0.1947 0.2640 0.3893
Mg1 0.1821 0.6959 0.3642
Mg2 0.8179 0.3041 0.6358
Ho7 0.5989 0.4106 0.1978
Ir1 0.5000 0.0000 0.0000
Ho8 0.9847 0.2191 0.9695



[6]
DFT (GGA-PBE) results for a relaxed structure of Ho4MgIr2.

Results
space group	P1, No. 1
DOS at the Fermi energy	5.01	states/eV/f.u.
formation enthalpy at 0 K	-0.51	eV/atom

abc: 7.2616 7.2546 8.9876
angles: 125.12 108.55 83.92
Fractional positions:
Mg1 0.1708 0.7076 0.5353
Ir1 0.0837 0.4879 0.9179
Ho1 0.8617 0.8981 0.0358
Ho2 0.3667 0.7563 0.9319
Ir2 0.6799 0.9318 0.2907
Ho3 0.3962 0.2357 0.4089
Ho4 0.8243 0.5056 0.1394
Ho5 0.3812 0.2116 0.7989
Ho6 0.8695 0.4051 0.5360
Ir3 0.6417 0.4605 0.7810
Mg2 0.1656 0.2010 0.0357
Ir4 0.5701 0.2371 0.1537
Ho7 0.4124 0.6537 0.2723
Ho8 0.8262 0.0581 0.6626